[1]
{"formula": "CdW2Au", "functional": "meta-GGA SCAN", "state": "single point on PBEsol structure", "magmom_total_mub_per_fu": 0.00, "ef_ev_per_atom": 0.482, "vol_a3_per_cell": 65.8, "n_ef_per_ev_fu": 1.32, "lattice_angstrom": [[-1.930, 1.930, 4.416], [1.930, -1.930, 4.416], [1.930, 1.930, -4.416]], "species": ["Cd", "W", "W", "Au"], "fractional_positions": [[0.000, 0.000, 0.000], [0.250, 0.750, 0.500], [0.750, 0.250, 0.500], [0.500, 0.500, 0.000]]}

***

[2]
{"formula": "Cd2WAu", "functional": "meta-GGA SCAN", "state": "single point on PBEsol structure", "magmom_total_mub_per_fu": 0.51, "ef_ev_per_atom": 0.525, "vol_a3_per_cell": 70.8, "n_ef_per_ev_fu": 2.37, "lattice_angstrom": [[2.956, 0.000, 0.000], [0.000, 4.879, 0.000], [0.000, 0.000, 4.910]], "species": ["Cd", "Cd", "W", "Au"], "fractional_positions": [[0.000, 0.000, 0.000], [0.500, 0.000, 0.500], [0.000, 0.500, 0.500], [0.500, 0.500, 0.000]]}

***

[3]
{"formula": "Cd2WAu", "functional": "meta-GGA SCAN", "state": "single point on PBEsol structure", "magmom_total_mub_per_fu": 0.00, "ef_ev_per_atom": 0.591, "vol_a3_per_cell": 71.2, "n_ef_per_ev_fu": 2.79, "lattice_angstrom": [[4.971, 0.000, 0.000], [0.000, 4.971, 0.000], [0.000, 0.000, 2.883]], "species": ["Cd", "Cd", "W", "Au"], "fractional_positions": [[0.000, 0.500, 0.000], [0.500, 0.000, 0.000], [0.000, 0.000, 0.500], [0.500, 0.500, 0.500]]}

***

[4]
{"formula": "Cd2WAu", "functional": "meta-GGA SCAN", "state": "single point on PBEsol structure", "magmom_total_mub_per_fu": 1.17, "ef_ev_per_atom": 0.680, "vol_a3_per_cell": 70.7, "n_ef_per_ev_fu": 2.24, "lattice_angstrom": [[-2.077, 2.077, 4.097], [2.077, -2.077, 4.097], [2.077, 2.077, -4.097]], "species": ["Cd", "Cd", "W", "Au"], "fractional_positions": [[0.000, 0.000, 0.000], [0.750, 0.250, 0.500], [0.500, 0.500, 0.000], [0.250, 0.750, 0.500]]}

***

[5]
{"formula": "CdW2Au", "functional": "meta-GGA SCAN", "state": "single point on PBEsol structure", "magmom_total_mub_per_fu": 0.00, "ef_ev_per_atom": 0.501, "vol_a3_per_cell": 66.0, "n_ef_per_ev_fu": 0.91, "lattice_angstrom": [[3.852, 0.000, 0.000], [0.000, 3.852, 0.000], [0.000, 0.000, 4.447]], "species": ["Cd", "W", "W", "Au"], "fractional_positions": [[0.000, 0.000, 0.000], [0.000, 0.500, 0.500], [0.500, 0.000, 0.500], [0.500, 0.500, 0.000]]}

***

[6]
{"formula": "Y2CdAu", "functional": "meta-GGA SCAN", "state": "single point on PBEsol structure", "magmom_total_mub_per_fu": 0.00, "ef_ev_per_atom": -0.642, "vol_a3_per_cell": 95.0, "n_ef_per_ev_fu": 3.36, "lattice_angstrom": [[5.919, -1.791, 0.000], [5.919, 1.791, 0.000], [-2.043, 0.000, 4.484]], "species": ["Y", "Y", "Cd", "Au"], "fractional_positions": [[0.000, 0.000, 0.000], [0.216, 0.216, 0.715], [0.434, 0.434, 0.434], [0.723, 0.723, 0.223]]}

***

[7]
{"formula": "Y2CdAu", "functional": "meta-GGA SCAN", "state": "single point on PBEsol structure", "magmom_total_mub_per_fu": 0.00, "ef_ev_per_atom": -0.793, "vol_a3_per_cell": 93.8, "n_ef_per_ev_fu": 2.18, "lattice_angstrom": [[5.083, 0.000, 0.000], [0.000, 5.083, 0.000], [0.000, 0.000, 3.630]], "species": ["Y", "Y", "Cd", "Au"], "fractional_positions": [[0.000, 0.500, 0.000], [0.500, 0.000, 0.000], [0.000, 0.000, 0.500], [0.500, 0.500, 0.500]]}

***

[8]
{"formula": "YCdAu2", "functional": "meta-GGA SCAN", "state": "single point on PBEsol structure", "magmom_total_mub_per_fu": 0.00, "ef_ev_per_atom": -0.772, "vol_a3_per_cell": 81.1, "n_ef_per_ev_fu": 1.29, "lattice_angstrom": [[3.473, 0.000, 0.000], [0.000, 3.473, 0.000], [0.000, 0.000, 6.723]], "species": ["Y", "Cd", "Au", "Au"], "fractional_positions": [[0.000, 0.000, 0.000], [0.000, 0.000, 0.500], [0.500, 0.500, 0.259], [0.500, 0.500, 0.741]]}

***

[9]
{"formula": "Y2CdAu", "functional": "meta-GGA SCAN", "state": "single point on PBEsol structure", "magmom_total_mub_per_fu": 0.00, "ef_ev_per_atom": -0.609, "vol_a3_per_cell": 105.2, "n_ef_per_ev_fu": 3.58, "lattice_angstrom": [[1.907, 1.101, 8.350], [-1.907, 1.101, 8.350], [0.000, -2.202, 8.350]], "species": ["Y", "Y", "Cd", "Au"], "fractional_positions": [[0.242, 0.242, 0.242], [0.758, 0.758, 0.758], [0.000, 0.000, 0.000], [0.500, 0.500, 0.500]]}

***

[10]
{"formula": "YCd2Au2", "functional": "meta-GGA SCAN", "state": "single point on PBEsol structure", "magmom_total_mub_per_fu": 0.00, "ef_ev_per_atom": -0.641, "vol_a3_per_cell": 106.5, "n_ef_per_ev_fu": 1.83, "lattice_angstrom": [[-1.998, 1.998, 6.669], [1.998, -1.998, 6.669], [1.998, 1.998, -6.669]], "species": ["Y", "Cd", "Cd", "Au", "Au"], "fractional_positions": [[0.000, 0.000, 0.000], [0.250, 0.750, 0.500], [0.750, 0.250, 0.500], [0.401, 0.401, 0.000], [0.599, 0.599, 0.000]]}

***

[11]
{"formula": "ZnCdAu", "functional": "meta-GGA SCAN", "state": "single point on PBEsol structure", "magmom_total_mub_per_fu": 0.00, "ef_ev_per_atom": -0.157, "vol_a3_per_cell": 51.2, "n_ef_per_ev_fu": 0.87, "lattice_angstrom": [[4.510, 0.000, 0.000], [-2.255, 3.906, 0.000], [0.000, 0.000, 2.903]], "species": ["Zn", "Cd", "Au"], "fractional_positions": [[0.000, 0.000, 0.000], [0.667, 0.333, 0.500], [0.333, 0.667, 0.000]]}

***

[12]
{"formula": "ZnCdAu", "functional": "meta-GGA SCAN", "state": "single point on PBEsol structure", "magmom_total_mub_per_fu": 0.00, "ef_ev_per_atom": -0.112, "vol_a3_per_cell": 50.8, "n_ef_per_ev_fu": 0.65, "lattice_angstrom": [[-1.494, 1.494, 5.690], [1.494, -1.494, 5.690], [1.494, 1.494, -5.690]], "species": ["Zn", "Cd", "Au"], "fractional_positions": [[0.000, 0.000, 0.000], [0.328, 0.328, 0.000], [0.646, 0.646, 0.000]]}

***

[13]
{"formula": "ZnCdAu2", "functional": "meta-GGA SCAN", "state": "single point on PBEsol structure", "magmom_total_mub_per_fu": 0.00, "ef_ev_per_atom": -0.202, "vol_a3_per_cell": 67.0, "n_ef_per_ev_fu": 0.84, "lattice_angstrom": [[-1.982, 1.982, 4.264], [1.982, -1.982, 4.264], [1.982, 1.982, -4.264]], "species": ["Zn", "Cd", "Au", "Au"], "fractional_positions": [[0.000, 0.000, 0.000], [0.250, 0.750, 0.500], [0.500, 0.500, 0.000], [0.750, 0.250, 0.500]]}

***

[14]
{"formula": "ZnCdAu", "functional": "meta-GGA SCAN", "state": "single point on PBEsol structure", "magmom_total_mub_per_fu": 0.00, "ef_ev_per_atom": 0.096, "vol_a3_per_cell": 61.0, "n_ef_per_ev_fu": 0.95, "lattice_angstrom": [[0.000, 3.125, 3.125], [3.125, 0.000, 3.125], [3.125, 3.125, 0.000]], "species": ["Zn", "Cd", "Au"], "fractional_positions": [[0.000, 0.000, 0.000], [0.250, 0.250, 0.250], [0.500, 0.500, 0.500]]}

***

[15]
{"formula": "ZnCd2Au2", "functional": "meta-GGA SCAN", "state": "single point on PBEsol structure", "magmom_total_mub_per_fu": 0.00, "ef_ev_per_atom": -0.193, "vol_a3_per_cell": 187.8, "n_ef_per_ev_fu": 1.42, "lattice_angstrom": [[6.872, 0.000, 0.000], [0.000, 6.872, 0.000], [0.000, 0.000, 3.976]], "species": ["Zn", "Zn", "Cd", "Cd", "Cd", "Cd", "Au", "Au", "Au", "Au"], "fractional_positions": [[0.000, 0.000, 0.000], [0.500, 0.500, 0.000], [0.155, 0.345, 0.500], [0.345, 0.845, 0.500], [0.655, 0.155, 0.500], [0.845, 0.655, 0.500], [0.149, 0.649, 0.000], [0.351, 0.149, 0.000], [0.649, 0.851, 0.000], [0.851, 0.351, 0.000]]}